The following is a DFT calculation (PBE) of crystalline TbTm2In at its relaxed geometry.

Energy of formation from the pure elements ... -0.24 eV/atom
Distance to the lowest polymorph of the same formula ... 26.2 meV/atom
Magnetic moment ... 0.000 μB/f.u.

a b c (Å): 3.560 3.560 9.050
angles (deg): 90.00 90.00 90.00
Space group P4/mmm (No. 123)
Unique sites:
Tb: 0.000 0.000 0.000 [1 per cell]
Tm: 0.500 0.500 0.273 [2 per cell]
In: 0.000 0.000 0.500 [1 per cell]

The following is a DFT calculation (PBE) of crystalline Tb4Tm7In at its relaxed geometry.

Energy of formation from the pure elements ... 0.16 eV/atom
Distance to the lowest polymorph of the same formula ... 0.0 meV/atom
Magnetic moment ... 0.001 μB/f.u.

a b c (Å): 11.838 5.602 11.802
angles (deg): 90.00 100.88 90.00
Space group C2/m (No. 12)
Unique sites:
Tb: 0.077 0.000 0.268 [4 per cell]
Tb: 0.140 0.500 0.782 [4 per cell]
Tm: 0.000 0.500 0.500 [2 per cell]
Tm: 0.110 0.500 0.108 [4 per cell]
Tm: 0.138 0.000 0.971 [4 per cell]
Tm: 0.249 0.500 0.390 [4 per cell]
In: 0.000 0.000 0.500 [2 per cell]